# 1
This record from the Alexandria database describes an optimized crystal structure of Nd2DyHgO. The functional is PBE.

The calculation puts the spin magnetization at 0.00 μB/atom. The calculation puts the total energy at -5.22 eV per atom. As for the mass density: 9.4 g/cm3. Its space-group type is P4/mmm, No. 123. The raw formation energy is -1.35 eV/atom.

a = 4.9742 Å, b = 4.9742 Å, c = 4.7552 Å
α = 90.00°, β = 90.00°, γ = 90.00°
Fractional coordinates of all 5 atoms:
Nd: 0.0000 0.5000 0.0000
Nd: 0.5000 0.0000 0.0000
Dy: 0.0000 0.0000 0.5000
Hg: 0.5000 0.5000 0.5000
O: 0.0000 0.0000 0.0000



# 2
This record from the Alexandria database describes an optimized crystal structure of TbSm2Rh3. The functional is PBE.

Its energy above the most stable polymorph in this dataset is 0.006 eV per atom. The calculation puts the spin magnetization at 0.00 μB/atom. The calculation puts the total energy at -6.78 eV per atom. The energy relative to the elements is -0.756 eV per atom. As for the mass density: 10.1 g/cm3. Its space-group type is P4/mmm, No. 123.

a = 3.4737 Å, b = 3.4737 Å, c = 10.4832 Å
α = 90.00°, β = 90.00°, γ = 90.00°
Fractional coordinates of all 6 atoms:
Tb: 0.0000 0.0000 0.0000
Sm: 0.0000 0.0000 0.3317
Sm: 0.0000 0.0000 0.6683
Rh: 0.5000 0.5000 0.1616
Rh: 0.5000 0.5000 0.5000
Rh: 0.5000 0.5000 0.8384



# 3
This record from the Alexandria database describes an optimized crystal structure of HgBi3Mo. The functional is PBE.

Its energy above the most stable polymorph in this dataset is 0.000 eV per atom. The calculation puts the spin magnetization at 0.00 μB/atom. The calculation puts the total energy at -4.06 eV per atom. The energy relative to the elements is 0.497 eV per atom. As for the mass density: 9.6 g/cm3. Its space-group type is Pm-3m, No. 221.

a = 5.4326 Å, b = 5.4326 Å, c = 5.4326 Å
α = 90.00°, β = 90.00°, γ = 90.00°
Fractional coordinates of all 5 atoms:
Hg: 0.0000 0.0000 0.0000
Bi: 0.0000 0.5000 0.5000
Bi: 0.5000 0.0000 0.5000
Bi: 0.5000 0.5000 0.0000
Mo: 0.5000 0.5000 0.5000



# 4
This record from the Alexandria database describes an optimized crystal structure of CeSn3S6. The functional is PBE.

The calculation puts the spin magnetization at 0.02 μB/atom. The calculation puts the total energy at -5.03 eV per atom. As for the mass density: 4.7 g/cm3. Its space-group type is P2_1/m, No. 11. The raw formation energy is -0.76 eV/atom.

a = 11.4177 Å, b = 3.9308 Å, c = 11.5244 Å
α = 90.00°, β = 108.64°, γ = 90.00°
Fractional coordinates of all 20 atoms:
Ce: 0.0571 0.2500 0.1862
Ce: 0.9429 0.7500 0.8138
Sn: 0.1481 0.2500 0.6009
Sn: 0.3237 0.7500 0.0276
Sn: 0.4807 0.2500 0.3443
Sn: 0.5193 0.7500 0.6557
Sn: 0.6763 0.2500 0.9724
Sn: 0.8519 0.7500 0.3991
S: 0.0770 0.7500 0.4089
S: 0.0975 0.2500 0.9531
S: 0.1763 0.7500 0.7476
S: 0.2407 0.7500 0.2225
S: 0.3525 0.2500 0.5639
S: 0.4876 0.2500 0.1245
S: 0.5124 0.7500 0.8755
S: 0.6475 0.7500 0.4361
S: 0.7593 0.2500 0.7775
S: 0.8237 0.2500 0.2524
S: 0.9025 0.7500 0.0469
S: 0.9230 0.2500 0.5911



# 5
This record from the Alexandria database describes an optimized crystal structure of GePRhO2. The functional is PBE.

Its energy above the most stable polymorph in this dataset is 0.000 eV per atom. The calculation puts the spin magnetization at 0.00 μB/atom. The calculation puts the total energy at -5.68 eV per atom. As for the mass density: 4.5 g/cm3. Its space-group type is P4/mmm, No. 123. The raw formation energy is -0.22 eV/atom.

a = 3.4614 Å, b = 3.4614 Å, c = 7.3355 Å
α = 90.00°, β = 90.00°, γ = 90.00°
Fractional coordinates of all 5 atoms:
Ge: 0.0000 0.0000 0.0000
P: 0.0000 0.0000 0.5000
Rh: 0.5000 0.5000 0.5000
O: 0.0000 0.5000 0.0000
O: 0.5000 0.0000 0.0000



# 6
This record from the Alexandria database describes an optimized crystal structure of TbPr2PuAs4. The functional is PBE.

The calculation puts the spin magnetization at 0.62 μB/atom. The calculation puts the total energy at -7.27 eV per atom. The energy relative to the elements is -1.376 eV per atom. As for the mass density: 7.7 g/cm3. Its space-group type is P2/m, No. 10.

a = 7.3026 Å, b = 4.2290 Å, c = 7.3081 Å
α = 90.00°, β = 109.45°, γ = 90.00°
Fractional coordinates of all 8 atoms:
Tb: 0.0000 0.0000 0.0000
Pr: 0.0000 0.5000 0.5000
Pr: 0.5000 0.0000 0.5000
Pu: 0.5000 0.5000 0.0000
As: 0.2477 0.5000 0.2384
As: 0.2560 0.0000 0.7631
As: 0.7440 0.0000 0.2369
As: 0.7523 0.5000 0.7616



# 7
This record from the Alexandria database describes an optimized crystal structure of Si8Rh. The functional is PBE.

The calculation puts the spin magnetization at 0.00 μB/atom. The calculation puts the total energy at -5.34 eV per atom. As for the mass density: 4.3 g/cm3. Its space-group type is I4/mmm, No. 139. The raw formation energy is 0.30 eV/atom.

a = 5.9718 Å, b = 5.9718 Å, c = 5.9718 Å
α = 96.62°, β = 96.62°, γ = 140.29°
Fractional coordinates of all 9 atoms:
Si: 0.0000 0.3329 0.3329
Si: 0.0000 0.6671 0.6671
Si: 0.3329 0.0000 0.3329
Si: 0.3374 0.3374 0.6747
Si: 0.3374 0.6626 0.0000
Si: 0.6626 0.3374 0.0000
Si: 0.6626 0.6626 0.3253
Si: 0.6671 0.0000 0.6671
Rh: 0.0000 0.0000 0.0000



# 8
This record from the Alexandria database describes an optimized crystal structure of MnFeBP. The functional is PBE.

Its energy above the most stable polymorph in this dataset is 0.074 eV per atom. The calculation puts the spin magnetization at 0.24 μB/atom. The calculation puts the total energy at -7.66 eV per atom. The energy relative to the elements is -0.234 eV per atom. As for the mass density: 6.3 g/cm3. Its space-group type is Pmm2, No. 25.

a = 2.8025 Å, b = 2.8830 Å, c = 4.9528 Å
α = 90.00°, β = 90.00°, γ = 90.00°
Fractional coordinates of all 4 atoms:
Mn: 0.0000 0.0000 0.0000
Fe: 0.0000 0.5000 0.5443
B: 0.5000 0.5000 0.8640
P: 0.5000 0.0000 0.3492